Below is an optimized crystal structure of La2Sm2Y4Tm, with properties calculated at the PBE level.

Geometry as CIF:
```
data_La2Sm2Y4Tm
_space_group_name_H-M_alt 'C 1 2/m 1'
_space_group_IT_number 12
_cell_length_a 18.900
_cell_length_b 3.648
_cell_length_c 9.684
_cell_angle_alpha 90.00
_cell_angle_beta 115.68
_cell_angle_gamma 90.00
loop_
_space_group_symop_operation_xyz
'x,y,z'
'-x,-y,-z'
'-x,y,-z'
'x,-y,z'
'x+1/2,y+1/2,z'
'-x+1/2,-y+1/2,-z'
'-x+1/2,y+1/2,-z'
'x+1/2,-y+1/2,z'
loop_
_atom_site_label
_atom_site_type_symbol
_atom_site_fract_x
_atom_site_fract_y
_atom_site_fract_z
_atom_site_occupancy
La1 La 0.164 0.000 0.498 1
Sm1 Sm 0.147 0.500 0.164 1
Y1 Y 0.020 0.000 0.834 1
Y2 Y 0.185 0.500 0.836 1
Tm1 Tm 0.000 0.500 0.500 1
```

Calculated values
E: -0.2025 hartree per atom
ΔE_f: 0.00 eV per atom